[1]
Here is a geometry-optimized Er4HgPtAu2 structure from Alexandria via LeMat-Bulk. Energies are from PBE.

Summary:
crystal system = trigonal
ΔE_f = -20.5 kcal/mol of atoms

Lattice parameters (Å, degrees): 8.750 8.750 8.750 33.54 33.54 33.54
Fractional positions:
Er 0.119 0.119 0.119
Er 0.370 0.370 0.370
Er 0.630 0.630 0.630
Er 0.881 0.881 0.881
Hg 0.500 0.500 0.500
Pt 0.000 0.000 0.000
Au 0.243 0.243 0.243
Au 0.757 0.757 0.757

=====

[2]
Here is a geometry-optimized Cs2TlPbBr6 structure from Alexandria via LeMat-Bulk. Energies are from PBE.

Summary:
crystal system = monoclinic
energy relative to the lowest polymorph listed for this composition = 0.000 kcal/mol of atoms

Lattice parameters (Å, degrees): 8.239 8.470 14.393 90.00 124.89 90.00
Fractional positions:
Cs 0.236 0.051 0.250
Cs 0.236 0.449 0.750
Cs 0.764 0.551 0.250
Cs 0.764 0.949 0.750
Tl 0.000 0.000 0.500
Tl 0.000 0.500 0.000
Pb 0.500 0.000 0.000
Pb 0.500 0.500 0.500
Br 0.178 0.207 0.968
Br 0.178 0.293 0.468
Br 0.262 0.713 0.968
Br 0.262 0.787 0.468
Br 0.311 0.008 0.752
Br 0.311 0.492 0.252
Br 0.689 0.508 0.748
Br 0.689 0.992 0.248
Br 0.738 0.213 0.532
Br 0.738 0.287 0.032
Br 0.822 0.707 0.532
Br 0.822 0.793 0.032

=====

[3]
Here is a geometry-optimized BaAc2LaRu structure from Alexandria via LeMat-Bulk. Energies are from PBE.

Summary:
crystal system = tetragonal
ΔE_f = -2.3 kcal/mol of atoms

Lattice parameters (Å, degrees): 5.987 5.987 5.679 90.00 90.00 90.00
Fractional positions:
Ba 0.000 0.000 0.000
Ac 0.000 0.500 0.500
Ac 0.500 0.000 0.500
La 0.500 0.500 0.000
Ru 0.500 0.500 0.500

=====

[4]
Here is a geometry-optimized Ca4MgIn2 structure from Alexandria via LeMat-Bulk. Energies are from PBE.

Summary:
crystal system = tetragonal
energy relative to the lowest polymorph listed for this composition = 8.614 kcal/mol of atoms
ΔE_f = 1.8 kcal/mol of atoms

Lattice parameters (Å, degrees): 8.831 8.831 8.831 141.30 141.30 55.89
Fractional positions:
Ca 0.000 0.500 0.500
Ca 0.200 0.200 0.000
Ca 0.500 0.000 0.500
Ca 0.800 0.800 0.000
Mg 0.000 0.000 0.000
In 0.399 0.399 0.000
In 0.601 0.601 0.000